1.
Material: KTl2Ga
Method: DFT, PBE
State: relaxed

Output
Space-group type: R3m (160)

Cell lengths 4.7806, 4.7806, 20.8918 Å; angles 90.00, 90.00, 120.00 degrees
Fractional positions:
K: 0.0000 0.0000 0.0000
K: 0.3333 0.6667 0.6667
K: 0.6667 0.3333 0.3333
Tl: 0.0000 0.0000 0.2169
Tl: 0.0000 0.0000 0.4440
Tl: 0.3333 0.6667 0.1107
Tl: 0.3333 0.6667 0.8836
Tl: 0.6667 0.3333 0.5503
Tl: 0.6667 0.3333 0.7773
Ga: 0.0000 0.0000 0.8193
Ga: 0.3333 0.6667 0.4860
Ga: 0.6667 0.3333 0.1526

2.
Material: KTl2Ga2
Method: DFT, PBE
State: relaxed

Output
Space-group type: P4/mbm (127)

Cell lengths 9.0349, 9.0349, 3.4627 Å; angles 90.00, 90.00, 90.00 degrees
Fractional positions:
K: 0.0000 0.0000 0.0000
K: 0.5000 0.5000 0.0000
Tl: 0.1369 0.3631 0.0000
Tl: 0.3631 0.8631 0.0000
Tl: 0.6369 0.1369 0.0000
Tl: 0.8631 0.6369 0.0000
Ga: 0.1546 0.6546 0.5000
Ga: 0.3454 0.1546 0.5000
Ga: 0.6546 0.8454 0.5000
Ga: 0.8454 0.3454 0.5000

3.
Material: KTlGa3
Method: DFT, PBE
State: relaxed

Output
Space-group type: Pm-3m (221)

Cell lengths 5.7993, 5.7993, 5.7993 Å; angles 90.00, 90.00, 90.00 degrees
Fractional positions:
K: 0.0000 0.0000 0.0000
Tl: 0.5000 0.5000 0.5000
Ga: 0.0000 0.0000 0.5000
Ga: 0.0000 0.5000 0.0000
Ga: 0.5000 0.0000 0.0000

no.,magnetization (μB per formula unit),energy (eV/atom)
1,0.0,-2.27
2,0.0,-2.34
3,0.0,-1.60